Entry 1:
{
  "formula": "TaPAu2",
  "functional": "PBE",
  "state": "relaxed",
  "mass_density_kg_m3": 14258,
  "e_form_mev_per_atom": 216,
  "magnetic_moment_mub_per_cell": 0.00,
  "vol_a3_per_cell": 71,
  "sg": "Pmmm, No. 47",
  "dos_at_fermi_per_ev_cell": 4.15,
  "dft_energy_ha_per_atom": -0.211,
  "lattice": [[3.478, 0.000, 0.000], [0.000, 3.854, 0.000], [0.000, 0.000, 5.265]],
  "species": ["Ta", "P", "Au", "Au"],
  "fractional_positions": [[0.000, 0.000, 0.000], [0.000, 0.000, 0.500], [0.500, 0.500, 0.249], [0.500, 0.500, 0.751]]
}

Entry 2:
{
  "formula": "Dy4InHg",
  "functional": "PBE",
  "state": "relaxed",
  "mass_density_kg_m3": 8373,
  "e_form_mev_per_atom": -100,
  "magnetic_moment_mub_per_cell": 0.00,
  "vol_a3_per_cell": 191,
  "sg": "R-3m, No. 166",
  "dos_at_fermi_per_ev_cell": 8.18,
  "dft_energy_ha_per_atom": -0.135,
  "lattice": [[2.568, 1.482, 8.382], [-2.568, 1.482, 8.382], [0.000, -2.965, 8.382]],
  "species": ["Dy", "Dy", "Dy", "Dy", "In", "Hg"],
  "fractional_positions": [[0.123, 0.123, 0.123], [0.373, 0.373, 0.373], [0.627, 0.627, 0.627], [0.877, 0.877, 0.877], [0.500, 0.500, 0.500], [0.000, 0.000, 0.000]]
}

Entry 3:
{
  "formula": "Nd8Ho6Tl",
  "functional": "PBE",
  "state": "relaxed",
  "mass_density_kg_m3": 7813,
  "e_form_mev_per_atom": 88,
  "magnetic_moment_mub_per_cell": 0.00,
  "vol_a3_per_cell": 499,
  "sg": "P-3, No. 147",
  "dos_at_fermi_per_ev_cell": 21.31,
  "dft_energy_ha_per_atom": -0.163,
  "lattice": [[9.384, 0.000, 0.000], [-4.692, 8.127, 0.000], [0.000, 0.000, 6.543]],
  "species": ["Nd", "Nd", "Nd", "Nd", "Nd", "Nd", "Nd", "Nd", "Ho", "Ho", "Ho", "Ho", "Ho", "Ho", "Tl"],
  "fractional_positions": [[0.043, 0.274, 0.320], [0.231, 0.957, 0.320], [0.274, 0.231, 0.680], [0.333, 0.667, 0.352], [0.667, 0.333, 0.648], [0.726, 0.769, 0.320], [0.769, 0.043, 0.680], [0.957, 0.726, 0.680], [0.099, 0.450, 0.834], [0.351, 0.901, 0.834], [0.450, 0.351, 0.166], [0.550, 0.649, 0.834], [0.649, 0.099, 0.166], [0.901, 0.550, 0.166], [0.000, 0.000, 0.000]]
}

Entry 4:
{
  "formula": "CsCa3Cr",
  "functional": "PBE",
  "state": "relaxed",
  "mass_density_kg_m3": 2341,
  "e_form_mev_per_atom": 1466,
  "magnetic_moment_mub_per_cell": 2.13,
  "vol_a3_per_cell": 216,
  "sg": "Pm-3m, No. 221",
  "dos_at_fermi_per_ev_cell": 4.63,
  "dft_energy_ha_per_atom": -0.067,
  "lattice": [[6.004, 0.000, 0.000], [0.000, 6.004, 0.000], [0.000, 0.000, 6.004]],
  "species": ["Cs", "Ca", "Ca", "Ca", "Cr"],
  "fractional_positions": [[0.000, 0.000, 0.000], [0.000, 0.000, 0.500], [0.000, 0.500, 0.000], [0.500, 0.000, 0.000], [0.500, 0.500, 0.500]]
}

Entry 5:
{
  "formula": "LiVRh3",
  "functional": "PBE",
  "state": "relaxed",
  "mass_density_kg_m3": 8548,
  "e_form_mev_per_atom": 69,
  "magnetic_moment_mub_per_cell": 0.00,
  "vol_a3_per_cell": 142,
  "sg": "R3c, No. 161",
  "dos_at_fermi_per_ev_cell": 8.71,
  "dft_energy_ha_per_atom": -0.241,
  "lattice": [[3.139, 1.812, 4.173], [-3.139, 1.812, 4.173], [0.000, -3.625, 4.173]],
  "species": ["Li", "Li", "V", "V", "Rh", "Rh", "Rh", "Rh", "Rh", "Rh"],
  "fractional_positions": [[0.000, 0.000, 0.000], [0.500, 0.500, 0.500], [0.198, 0.198, 0.198], [0.698, 0.698, 0.698], [0.087, 0.355, 0.614], [0.114, 0.855, 0.587], [0.355, 0.614, 0.087], [0.587, 0.114, 0.855], [0.614, 0.087, 0.355], [0.855, 0.587, 0.114]]
}

Entry 6:
{
  "formula": "Zr2TcTe6",
  "functional": "PBE",
  "state": "relaxed",
  "mass_density_kg_m3": 7360,
  "magnetic_moment_mub_per_cell": 1.72,
  "vol_a3_per_cell": 472,
  "sg": "P2_1/c, No. 14",
  "raw_formation_energy_ev_per_atom": -0.49,
  "dos_at_fermi_per_ev_cell": 11.80,
  "dft_energy_ha_per_atom": -0.207,
  "lattice": [[7.019, 0.000, 0.000], [0.000, 7.285, 0.000], [-6.311, 0.000, 9.231]],
  "species": ["Zr", "Zr", "Zr", "Zr", "Tc", "Tc", "Te", "Te", "Te", "Te", "Te", "Te", "Te", "Te", "Te", "Te", "Te", "Te"],
  "fractional_positions": [[0.215, 0.153, 0.250], [0.215, 0.347, 0.750], [0.785, 0.653, 0.250], [0.785, 0.847, 0.750], [0.000, 0.000, 0.500], [0.000, 0.500, 0.000], [0.087, 0.167, 0.931], [0.087, 0.333, 0.431], [0.285, 0.671, 0.937], [0.285, 0.829, 0.437], [0.410, 0.502, 0.259], [0.410, 0.998, 0.759], [0.590, 0.002, 0.241], [0.590, 0.498, 0.741], [0.715, 0.171, 0.563], [0.715, 0.329, 0.063], [0.913, 0.667, 0.569], [0.913, 0.833, 0.069]]
}

Entry 7:
{
  "formula": "Cu2AgP",
  "functional": "PBE",
  "state": "relaxed",
  "mass_density_kg_m3": 7604,
  "e_form_mev_per_atom": 171,
  "magnetic_moment_mub_per_cell": 0.00,
  "vol_a3_per_cell": 58,
  "sg": "Pm, No. 6",
  "dos_at_fermi_per_ev_cell": 1.27,
  "dft_energy_ha_per_atom": -0.145,
  "lattice": [[2.827, 0.000, 0.000], [0.000, 4.090, 0.000], [-1.380, 0.000, 5.022]],
  "species": ["Cu", "Cu", "Ag", "P"],
  "fractional_positions": [[0.000, 0.000, 0.000], [0.396, 0.500, 0.794], [0.744, 0.000, 0.488], [0.098, 0.500, 0.204]]
}

Entry 8:
{
  "formula": "UFeOs",
  "functional": "PBE",
  "state": "relaxed",
  "mass_density_kg_m3": 16598,
  "e_form_mev_per_atom": -161,
  "magnetic_moment_mub_per_cell": 2.03,
  "vol_a3_per_cell": 97,
  "sg": "Imma, No. 74",
  "dos_at_fermi_per_ev_cell": 9.73,
  "dft_energy_ha_per_atom": -0.385,
  "lattice": [[-2.339, 2.761, 3.749], [2.339, -2.761, 3.749], [2.339, 2.761, -3.749]],
  "species": ["U", "U", "Fe", "Fe", "Os", "Os"],
  "fractional_positions": [[0.389, 0.139, 0.250], [0.611, 0.861, 0.750], [0.000, 0.000, 0.500], [0.000, 0.500, 0.000], [0.000, 0.500, 0.500], [0.500, 0.500, 0.000]]
}

Entry 9:
{
  "formula": "LaNd4Tm6",
  "functional": "PBE",
  "state": "relaxed",
  "mass_density_kg_m3": 7739,
  "e_form_mev_per_atom": 147,
  "magnetic_moment_mub_per_cell": 0.00,
  "vol_a3_per_cell": 371,
  "sg": "P-6m2, No. 187",
  "dos_at_fermi_per_ev_cell": 15.12,
  "dft_energy_ha_per_atom": -0.164,
  "lattice": [[10.998, 0.000, 0.000], [-5.499, 9.525, 0.000], [0.000, 0.000, 3.543]],
  "species": ["La", "Nd", "Nd", "Nd", "Nd", "Tm", "Tm", "Tm", "Tm", "Tm", "Tm"],
  "fractional_positions": [[0.000, 0.000, 0.000], [0.333, 0.667, 0.000], [0.398, 0.199, 0.500], [0.801, 0.199, 0.500], [0.801, 0.602, 0.500], [0.009, 0.504, 0.000], [0.172, 0.345, 0.500], [0.172, 0.828, 0.500], [0.496, 0.504, 0.000], [0.496, 0.991, 0.000], [0.655, 0.828, 0.500]]
}

Entry 10:
{
  "formula": "MgPaP2Ir5",
  "functional": "PBE",
  "state": "relaxed",
  "mass_density_kg_m3": 12260,
  "e_form_mev_per_atom": -533,
  "magnetic_moment_mub_per_cell": 0.00,
  "vol_a3_per_cell": 173,
  "sg": "P4/mmm, No. 123",
  "dos_at_fermi_per_ev_cell": 4.05,
  "dft_energy_ha_per_atom": -0.290,
  "lattice": [[3.962, 0.000, 0.000], [0.000, 3.962, 0.000], [0.000, 0.000, 11.029]],
  "species": ["Mg", "Pa", "P", "P", "Ir", "Ir", "Ir", "Ir", "Ir"],
  "fractional_positions": [[0.000, 0.000, 0.000], [0.000, 0.000, 0.500], [0.500, 0.500, 0.205], [0.500, 0.500, 0.795], [0.000, 0.500, 0.314], [0.000, 0.500, 0.686], [0.500, 0.000, 0.314], [0.500, 0.000, 0.686], [0.500, 0.500, 0.000]]
}

Entry 11:
{
  "formula": "TlCo2P",
  "functional": "PBE",
  "state": "relaxed",
  "mass_density_kg_m3": 9742,
  "e_form_mev_per_atom": 169,
  "magnetic_moment_mub_per_cell": 1.34,
  "vol_a3_per_cell": 60,
  "sg": "P4mm, No. 99",
  "dos_at_fermi_per_ev_cell": 5.05,
  "dft_energy_ha_per_atom": -0.196,
  "lattice": [[3.119, 0.000, 0.000], [0.000, 3.119, 0.000], [0.000, 0.000, 6.189]],
  "species": ["Tl", "Co", "Co", "P"],
  "fractional_positions": [[0.000, 0.000, 0.000], [0.000, 0.000, 0.523], [0.500, 0.500, 0.271], [0.500, 0.500, 0.619]]
}

Entry 12:
{
  "formula": "TlTc2Ru",
  "functional": "PBE",
  "state": "relaxed",
  "mass_density_kg_m3": 12455,
  "e_form_mev_per_atom": 673,
  "magnetic_moment_mub_per_cell": 0.03,
  "vol_a3_per_cell": 67,
  "sg": "Cmm2, No. 35",
  "dos_at_fermi_per_ev_cell": 5.07,
  "dft_energy_ha_per_atom": -0.273,
  "lattice": [[1.490, -2.431, 0.000], [1.490, 2.431, 0.000], [0.000, 0.000, 9.230]],
  "species": ["Tl", "Tc", "Tc", "Ru"],
  "fractional_positions": [[0.000, 0.000, 0.000], [0.000, 0.000, 0.497], [0.500, 0.500, 0.725], [0.500, 0.500, 0.265]]
}

Entry 13:
{
  "formula": "ScBeAs2",
  "functional": "PBE",
  "state": "relaxed",
  "mass_density_kg_m3": 4648,
  "e_form_mev_per_atom": -538,
  "magnetic_moment_mub_per_cell": 0.00,
  "vol_a3_per_cell": 73,
  "sg": "Cm, No. 8",
  "dos_at_fermi_per_ev_cell": 0.89,
  "dft_energy_ha_per_atom": -0.198,
  "lattice": [[5.342, -1.888, 0.000], [5.342, 1.888, 0.000], [-0.648, 0.000, 3.609]],
  "species": ["Sc", "Be", "As", "As"],
  "fractional_positions": [[0.000, 0.000, 0.000], [0.280, 0.280, 0.854], [0.413, 0.413, 0.439], [0.675, 0.675, 0.875]]
}

Entry 14:
{
  "formula": "ScNb3Sb",
  "functional": "PBE",
  "state": "relaxed",
  "mass_density_kg_m3": 6706,
  "magnetic_moment_mub_per_cell": 0.00,
  "vol_a3_per_cell": 110,
  "sg": "Pm-3m, No. 221",
  "raw_formation_energy_ev_per_atom": 1.37,
  "dos_at_fermi_per_ev_cell": 3.61,
  "dft_energy_ha_per_atom": -0.249,
  "lattice": [[4.796, 0.000, 0.000], [0.000, 4.796, 0.000], [0.000, 0.000, 4.796]],
  "species": ["Sc", "Nb", "Nb", "Nb", "Sb"],
  "fractional_positions": [[0.000, 0.000, 0.000], [0.000, 0.000, 0.500], [0.000, 0.500, 0.000], [0.500, 0.000, 0.000], [0.500, 0.500, 0.500]]
}

Entry 15:
{
  "formula": "KCrTc2",
  "functional": "PBE",
  "state": "relaxed",
  "mass_density_kg_m3": 5435,
  "e_form_mev_per_atom": 962,
  "magnetic_moment_mub_per_cell": 0.12,
  "vol_a3_per_cell": 88,
  "sg": "C2/m, No. 12",
  "dos_at_fermi_per_ev_cell": 4.47,
  "dft_energy_ha_per_atom": -0.254,
  "lattice": [[4.548, -1.438, 0.000], [4.548, 1.438, 0.000], [-1.193, 0.000, 6.706]],
  "species": ["K", "Cr", "Tc", "Tc"],
  "fractional_positions": [[0.000, 0.000, 0.000], [0.500, 0.500, 0.500], [0.206, 0.206, 0.630], [0.794, 0.794, 0.370]]
}

Entry 16:
{
  "formula": "K4Tc2O",
  "functional": "PBE",
  "state": "relaxed",
  "mass_density_kg_m3": 2424,
  "magnetic_moment_mub_per_cell": 6.52,
  "vol_a3_per_cell": 252,
  "sg": "I4/mmm, No. 139",
  "raw_formation_energy_ev_per_atom": 0.93,
  "dos_at_fermi_per_ev_cell": 5.55,
  "dft_energy_ha_per_atom": -0.124,
  "lattice": [[-2.332, 2.332, 11.599], [2.332, -2.332, 11.599], [2.332, 2.332, -11.599]],
  "species": ["K", "K", "K", "K", "Tc", "Tc", "O"],
  "fractional_positions": [[0.000, 0.500, 0.500], [0.126, 0.126, 0.000], [0.500, 0.000, 0.500], [0.874, 0.874, 0.000], [0.261, 0.261, 0.000], [0.739, 0.739, 0.000], [0.000, 0.000, 0.000]]
}

Entry 17:
{
  "formula": "NaLaCe2Au4",
  "functional": "PBE",
  "state": "relaxed",
  "mass_density_kg_m3": 10113,
  "e_form_mev_per_atom": -589,
  "magnetic_moment_mub_per_cell": 1.97,
  "vol_a3_per_cell": 202,
  "sg": "R-3m, No. 166",
  "dos_at_fermi_per_ev_cell": 17.71,
  "dft_energy_ha_per_atom": -0.165,
  "lattice": [[2.615, 1.510, 8.523], [-2.615, 1.510, 8.523], [0.000, -3.020, 8.523]],
  "species": ["Na", "La", "Ce", "Ce", "Au", "Au", "Au", "Au"],
  "fractional_positions": [[0.000, 0.000, 0.000], [0.500, 0.500, 0.500], [0.257, 0.257, 0.257], [0.743, 0.743, 0.743], [0.130, 0.130, 0.130], [0.379, 0.379, 0.379], [0.621, 0.621, 0.621], [0.870, 0.870, 0.870]]
}